{
  "formula": "Li3CeDy2Se6",
  "functional": "PBE",
  "state": "optimized geometry",
  "energy_ev_per_atom": -5.14,
  "spacegroup": "C2/m (12)",
  "e_form_raw_ev_per_atom": -1.660,
  "lattice": [[3.568, -6.183, 0.000], [3.568, 6.183, 0.000], [-2.372, 0.000, 6.499]],
  "species": ["Li", "Li", "Li", "Ce", "Dy", "Dy", "Se", "Se", "Se", "Se", "Se", "Se"],
  "fractional_positions": [[0.000, 0.000, 0.000], [0.331, 0.669, 0.000], [0.669, 0.331, 0.000], [0.500, 0.500, 0.500], [0.166, 0.834, 0.500], [0.834, 0.166, 0.500], [0.074, 0.415, 0.245], [0.244, 0.244, 0.756], [0.415, 0.074, 0.245], [0.585, 0.926, 0.755], [0.756, 0.756, 0.244], [0.926, 0.585, 0.755]]
}


{
  "formula": "LaPrEr2P4",
  "functional": "PBE",
  "state": "optimized geometry",
  "energy_ev_per_atom": -6.62,
  "spacegroup": "P2/m (10)",
  "formation_energy_ev_per_atom": -1.562,
  "lattice": [[7.103, 0.000, 0.000], [0.000, 4.108, 0.000], [-2.371, 0.000, 6.705]],
  "species": ["La", "Pr", "Er", "Er", "P", "P", "P", "P"],
  "fractional_positions": [[0.000, 0.000, 0.000], [0.000, 0.500, 0.500], [0.500, 0.000, 0.500], [0.500, 0.500, 0.000], [0.265, 0.000, 0.754], [0.266, 0.500, 0.256], [0.734, 0.500, 0.744], [0.735, 0.000, 0.246]]
}


{
  "formula": "LiIr3C",
  "functional": "PBE",
  "state": "optimized geometry",
  "energy_ev_per_atom": -5.30,
  "relative_energy_mev_per_atom": 2075,
  "spacegroup": "Pm-3m (221)",
  "formation_energy_ev_per_atom": 2.247,
  "lattice": [[4.088, 0.000, 0.000], [0.000, 4.088, 0.000], [0.000, 0.000, 4.088]],
  "species": ["Li", "Ir", "Ir", "Ir", "C"],
  "fractional_positions": [[0.000, 0.000, 0.000], [0.000, 0.000, 0.500], [0.000, 0.500, 0.000], [0.500, 0.000, 0.000], [0.500, 0.500, 0.500]]
}


{
  "formula": "MnAlV2C",
  "functional": "PBE",
  "state": "optimized geometry",
  "energy_ev_per_atom": -8.29,
  "spacegroup": "P4/mmm (123)",
  "formation_energy_ev_per_atom": -0.217,
  "lattice": [[3.976, 0.000, 0.000], [0.000, 3.976, 0.000], [0.000, 0.000, 3.795]],
  "species": ["Mn", "Al", "V", "V", "C"],
  "fractional_positions": [[0.000, 0.000, 0.000], [0.500, 0.500, 0.000], [0.000, 0.500, 0.500], [0.500, 0.000, 0.500], [0.000, 0.000, 0.500]]
}


{
  "formula": "Cs2UHgSe6",
  "functional": "PBE",
  "state": "optimized geometry",
  "energy_ev_per_atom": -4.13,
  "spacegroup": "P2_1/c (14)",
  "e_form_raw_ev_per_atom": -0.709,
  "lattice": [[7.812, 0.000, 0.000], [0.000, 7.812, 0.000], [-7.805, 0.000, 11.009]],
  "species": ["Cs", "Cs", "Cs", "Cs", "U", "U", "Hg", "Hg", "Se", "Se", "Se", "Se", "Se", "Se", "Se", "Se", "Se", "Se", "Se", "Se"],
  "fractional_positions": [[0.250, 0.000, 0.250], [0.250, 0.500, 0.750], [0.750, 0.000, 0.750], [0.750, 0.500, 0.250], [0.000, 0.000, 0.500], [0.000, 0.500, 0.000], [0.500, 0.000, 0.000], [0.500, 0.500, 0.500], [0.241, 0.241, 0.500], [0.241, 0.259, 0.000], [0.242, 0.001, 0.742], [0.242, 0.499, 0.242], [0.242, 0.741, 0.000], [0.242, 0.759, 0.500], [0.758, 0.241, 0.500], [0.758, 0.259, 0.000], [0.758, 0.501, 0.758], [0.758, 0.999, 0.258], [0.759, 0.741, 0.000], [0.759, 0.759, 0.500]]
}


{
  "formula": "Pr6ZnOs2Br3",
  "functional": "PBE",
  "state": "optimized geometry",
  "energy_ev_per_atom": -5.51,
  "spacegroup": "C2/m (12)",
  "e_form_raw_ev_per_atom": -0.720,
  "lattice": [[3.642, -6.314, 0.000], [3.642, 6.314, 0.000], [-2.422, 0.000, 7.903]],
  "species": ["Pr", "Pr", "Pr", "Pr", "Pr", "Pr", "Zn", "Os", "Os", "Br", "Br", "Br"],
  "fractional_positions": [[0.077, 0.433, 0.799], [0.210, 0.210, 0.201], [0.433, 0.077, 0.799], [0.567, 0.923, 0.201], [0.790, 0.790, 0.799], [0.923, 0.567, 0.201], [0.500, 0.500, 0.000], [0.166, 0.834, 0.000], [0.834, 0.166, 0.000], [0.000, 0.000, 0.500], [0.332, 0.668, 0.500], [0.668, 0.332, 0.500]]
}


{
  "formula": "Sm2GdGa",
  "functional": "PBE",
  "state": "optimized geometry",
  "energy_ev_per_atom": -6.89,
  "relative_energy_mev_per_atom": 2,
  "spacegroup": "P4/mmm (123)",
  "formation_energy_ev_per_atom": -0.250,
  "lattice": [[3.587, 0.000, 0.000], [0.000, 3.587, 0.000], [0.000, 0.000, 9.011]],
  "species": ["Sm", "Sm", "Gd", "Ga"],
  "fractional_positions": [[0.000, 0.000, 0.209], [0.000, 0.000, 0.791], [0.500, 0.500, 0.500], [0.500, 0.500, 0.000]]
}


{
  "formula": "AsPRh2",
  "functional": "PBE",
  "state": "optimized geometry",
  "energy_ev_per_atom": -5.93,
  "relative_energy_mev_per_atom": 697,
  "spacegroup": "F-43m (216)",
  "formation_energy_ev_per_atom": 0.256,
  "lattice": [[0.000, 3.102, 3.102], [3.102, 0.000, 3.102], [3.102, 3.102, 0.000]],
  "species": ["As", "P", "Rh", "Rh"],
  "fractional_positions": [[0.000, 0.000, 0.000], [0.250, 0.250, 0.250], [0.500, 0.500, 0.500], [0.750, 0.750, 0.750]]
}


{
  "formula": "P2PdOF",
  "functional": "PBE",
  "state": "optimized geometry",
  "energy_ev_per_atom": -4.02,
  "relative_energy_mev_per_atom": 0,
  "spacegroup": "P4/mmm (123)",
  "e_form_raw_ev_per_atom": 0.553,
  "lattice": [[4.682, 0.000, 0.000], [0.000, 4.682, 0.000], [0.000, 0.000, 3.938]],
  "species": ["P", "P", "Pd", "O", "F"],
  "fractional_positions": [[0.000, 0.500, 0.000], [0.500, 0.000, 0.000], [0.000, 0.000, 0.000], [0.000, 0.000, 0.500], [0.500, 0.500, 0.500]]
}


{
  "formula": "CrBiP2",
  "functional": "PBE",
  "state": "optimized geometry",
  "energy_ev_per_atom": -5.92,
  "spacegroup": "I-42d (122)",
  "formation_energy_ev_per_atom": 0.166,
  "lattice": [[-2.927, 2.927, 5.824], [2.927, -2.927, 5.824], [2.927, 2.927, -5.824]],
  "species": ["Cr", "Cr", "Bi", "Bi", "P", "P", "P", "P"],
  "fractional_positions": [[0.000, 0.000, 0.000], [0.750, 0.250, 0.500], [0.250, 0.750, 0.500], [0.500, 0.500, 0.000], [0.057, 0.625, 0.932], [0.375, 0.307, 0.432], [0.693, 0.125, 0.068], [0.875, 0.943, 0.568]]
}